Record 1
First-principles (GGA-PBE) data for a geometry-optimized Sr2Sc2V structure, as listed in Alexandria.

Formation energy (meV per atom): 731

a = 4.082 Å, b = 4.082 Å, c = 20.732 Å
α = 90.00°, β = 90.00°, γ = 90.00°
Space group I4/mmm (No. 139)
Inequivalent atoms, fractional coordinates:
Sr (0.000, 0.000, 0.096) x4
Sc (0.000, 0.500, 0.250) x4
V (0.000, 0.000, 0.500) x2

Record 2
First-principles (GGA-PBE) data for a geometry-optimized Ti3RhO structure, as listed in Alexandria.

Formation energy (no corrections) (eV/atom): 0.621

a = 4.706 Å, b = 4.706 Å, c = 4.706 Å
α = 90.00°, β = 90.00°, γ = 90.00°
Space group Pm-3m (No. 221)
Inequivalent atoms, fractional coordinates:
Ti (0.000, 0.000, 0.500) x3
Rh (0.000, 0.000, 0.000) x1
O (0.500, 0.500, 0.500) x1

Record 3
First-principles (GGA-PBE) data for a geometry-optimized Na2Sb2AsO6 structure, as listed in Alexandria.

Formation energy (no corrections) (eV/atom): -1.172

a = 8.993 Å, b = 6.659 Å, c = 5.907 Å
α = 90.00°, β = 111.70°, γ = 90.00°
Space group C2/m (No. 12)
Inequivalent atoms, fractional coordinates:
Na (0.160, 0.000, 0.115) x4
Sb (0.043, 0.500, 0.285) x4
As (0.000, 0.000, 0.500) x2
O (0.034, 0.189, 0.749) x8
O (0.225, 0.000, 0.538) x4

Record 4
First-principles (GGA-PBE) data for a geometry-optimized LuPuOs structure, as listed in Alexandria.

Formation energy (meV per atom): -110

a = 3.283 Å, b = 3.283 Å, c = 12.766 Å
α = 90.00°, β = 90.00°, γ = 90.00°
Space group I4mm (No. 107)
Inequivalent atoms, fractional coordinates:
Lu (0.000, 0.000, 0.000) x2
Pu (0.000, 0.000, 0.269) x2
Os (0.000, 0.000, 0.632) x2

Record 5
First-principles (GGA-PBE) data for a geometry-optimized Na2ZrCuI structure, as listed in Alexandria.

Formation energy (no corrections) (eV/atom): 0.890

a = 6.500 Å, b = 6.500 Å, c = 5.460 Å
α = 90.00°, β = 90.00°, γ = 90.00°
Space group P4/mmm (No. 123)
Inequivalent atoms, fractional coordinates:
Na (0.000, 0.500, 0.000) x2
Zr (0.000, 0.000, 0.000) x1
Cu (0.500, 0.500, 0.500) x1
I (0.000, 0.000, 0.500) x1

Record 6
First-principles (GGA-PBE) data for a geometry-optimized CdIn2BrO structure, as listed in Alexandria.

Formation energy (no corrections) (eV/atom): 0.512

a = 5.649 Å, b = 5.649 Å, c = 5.313 Å
α = 90.00°, β = 90.00°, γ = 90.00°
Space group P4/mmm (No. 123)
Inequivalent atoms, fractional coordinates:
Cd (0.000, 0.000, 0.000) x1
In (0.000, 0.500, 0.000) x2
Br (0.000, 0.000, 0.500) x1
O (0.500, 0.500, 0.500) x1

Record 7
First-principles (GGA-PBE) data for a geometry-optimized NbInBr2 structure, as listed in Alexandria.

Formation energy (no corrections) (eV/atom): -0.055

a = 9.262 Å, b = 9.262 Å, c = 5.883 Å
α = 90.00°, β = 90.00°, γ = 90.00°
Space group I-42d (No. 122)
Inequivalent atoms, fractional coordinates:
Nb (0.000, 0.000, 0.000) x4
In (0.000, 0.000, 0.500) x4
Br (0.127, 0.250, 0.125) x8

Record 8
First-principles (GGA-PBE) data for a geometry-optimized BaTiGa structure, as listed in Alexandria.

Formation energy (meV per atom): -144

a = 4.742 Å, b = 4.742 Å, c = 7.487 Å
α = 90.00°, β = 90.00°, γ = 90.00°
Space group P4/nmm (No. 129, origin choice 2)
Inequivalent atoms, fractional coordinates:
Ba (0.250, 0.250, 0.150) x2
Ti (0.250, 0.750, 0.500) x2
Ga (0.250, 0.250, 0.665) x2

Record 9
First-principles (GGA-PBE) data for a geometry-optimized ZrPCl2O structure, as listed in Alexandria.

Formation energy (no corrections) (eV/atom): -0.025

a = 4.941 Å, b = 4.941 Å, c = 5.231 Å
α = 90.00°, β = 90.00°, γ = 90.00°
Space group P4/mmm (No. 123)
Inequivalent atoms, fractional coordinates:
Zr (0.000, 0.000, 0.000) x1
P (0.000, 0.000, 0.500) x1
Cl (0.000, 0.500, 0.000) x2
O (0.500, 0.500, 0.500) x1

Record 10
First-principles (GGA-PBE) data for a geometry-optimized FeSnRh2Au structure, as listed in Alexandria.

Formation energy (meV per atom): 1206

a = 4.944 Å, b = 4.944 Å, c = 4.619 Å
α = 90.00°, β = 90.00°, γ = 90.00°
Space group P4/mmm (No. 123)
Inequivalent atoms, fractional coordinates:
Fe (0.000, 0.000, 0.000) x1
Sn (0.500, 0.500, 0.000) x1
Rh (0.000, 0.500, 0.500) x2
Au (0.000, 0.000, 0.500) x1

Record 11
First-principles (GGA-PBE) data for a geometry-optimized LiLa2BOs structure, as listed in Alexandria.

Formation energy (meV per atom): -33

a = 5.432 Å, b = 5.432 Å, c = 4.042 Å
α = 90.00°, β = 90.00°, γ = 90.00°
Space group P4/mmm (No. 123)
Inequivalent atoms, fractional coordinates:
Li (0.000, 0.000, 0.000) x1
La (0.000, 0.500, 0.500) x2
B (0.500, 0.500, 0.500) x1
Os (0.500, 0.500, 0.000) x1

Record 12
First-principles (GGA-PBE) data for a geometry-optimized AlReSe2 structure, as listed in Alexandria.

Formation energy (no corrections) (eV/atom): 0.354

a = 3.3578 Å, b = 3.3578 Å, c = 23.7065 Å
α = 90.00°, β = 90.00°, γ = 120.00°
Space group R-3m (No. 166, hexagonal axes)
Inequivalent atoms, fractional coordinates:
Al (0.0000, 0.0000, 0.0000) x3
Re (0.0000, 0.0000, 0.5000) x3
Se (0.0000, 0.0000, 0.3986) x6

Record 13
First-principles (GGA-PBE) data for a geometry-optimized Tb4TlTe2As structure, as listed in Alexandria.

Formation energy (no corrections) (eV/atom): -1.143

a = 7.563 Å, b = 4.245 Å, c = 7.569 Å
α = 90.00°, β = 108.56°, γ = 90.00°
Space group P2/m (No. 10)
Inequivalent atoms, fractional coordinates:
Tb (0.234, 0.000, 0.225) x2
Tb (0.246, 0.500, 0.762) x2
Tl (0.500, 0.000, 0.000) x1
Te (0.000, 0.000, 0.500) x1
Te (0.500, 0.500, 0.500) x1
As (0.000, 0.500, 0.000) x1

Record 14
First-principles (GGA-PBE) data for a geometry-optimized La2Ru3C2 structure, as listed in Alexandria.

Formation energy (meV per atom): 120

a = 10.673 Å, b = 3.037 Å, c = 7.503 Å
α = 90.00°, β = 110.53°, γ = 90.00°
Space group C2/m (No. 12)
Inequivalent atoms, fractional coordinates:
La (0.136, 0.000, 0.273) x4
Ru (0.000, 0.500, 0.500) x2
Ru (0.152, 0.500, 0.877) x4
C (0.136, 0.000, 0.677) x4

Record 15
First-principles (GGA-PBE) data for a geometry-optimized Ho5Mg2Tc structure, as listed in Alexandria.

Formation energy (meV per atom): -37

a = 6.551 Å, b = 12.412 Å, c = 5.152 Å
α = 90.00°, β = 90.00°, γ = 90.00°
Space group Pbam (No. 55)
Inequivalent atoms, fractional coordinates:
Ho (0.000, 0.000, 0.000) x2
Ho (0.117, 0.284, 0.000) x4
Ho (0.159, 0.602, 0.500) x4
Mg (0.144, 0.865, 0.500) x4
Tc (0.000, 0.500, 0.000) x2

Record 16
First-principles (GGA-PBE) data for a geometry-optimized Y2GaRh structure, as listed in Alexandria.

Formation energy (meV per atom): -738

a = 5.802 Å, b = 4.379 Å, c = 7.675 Å
α = 90.00°, β = 111.12°, γ = 90.00°
Space group P2_1/m (No. 11)
Inequivalent atoms, fractional coordinates:
Y (0.184, 0.250, 0.416) x2
Y (0.275, 0.750, 0.066) x2
Ga (0.372, 0.750, 0.708) x2
Rh (0.148, 0.250, 0.787) x2

Record 17
First-principles (GGA-PBE) data for a geometry-optimized CaMn2WC structure, as listed in Alexandria.

Formation energy (meV per atom): 1026

a = 4.875 Å, b = 4.875 Å, c = 4.156 Å
α = 90.00°, β = 90.00°, γ = 90.00°
Space group P4/mmm (No. 123)
Inequivalent atoms, fractional coordinates:
Ca (0.000, 0.000, 0.000) x1
Mn (0.000, 0.500, 0.500) x2
W (0.500, 0.500, 0.500) x1
C (0.500, 0.500, 0.000) x1

Record 18
First-principles (GGA-PBE) data for a geometry-optimized Te2Ru structure, as listed in Alexandria.

Formation energy (no corrections) (eV/atom): 0.194

a = 7.3273 Å, b = 7.3273 Å, c = 4.2146 Å
α = 90.00°, β = 90.00°, γ = 120.00°
Space group P-62m (No. 189)
Inequivalent atoms, fractional coordinates:
Te (0.0000, 0.2670, 0.0000) x3
Te (0.0000, 0.5986, 0.5000) x3
Ru (0.0000, 0.0000, 0.5000) x1
Ru (0.3333, 0.6667, 0.0000) x2

Record 19
First-principles (GGA-PBE) data for a geometry-optimized Pm3BiRh structure, as listed in Alexandria.

Formation energy (meV per atom): -695

a = 8.283 Å, b = 4.385 Å, c = 16.504 Å
α = 90.00°, β = 90.00°, γ = 90.00°
Space group Pnma (No. 62)
Inequivalent atoms, fractional coordinates:
Pm (0.007, 0.250, 0.095) x4
Pm (0.146, 0.750, 0.455) x4
Pm (0.170, 0.250, 0.703) x4
Bi (0.127, 0.250, 0.301) x4
Rh (0.220, 0.750, 0.044) x4

Record 20
First-principles (GGA-PBE) data for a geometry-optimized TlRePS2 structure, as listed in Alexandria.

Formation energy (no corrections) (eV/atom): 1.958

a = 5.039 Å, b = 5.039 Å, c = 5.131 Å
α = 90.00°, β = 90.00°, γ = 90.00°
Space group P4/mmm (No. 123)
Inequivalent atoms, fractional coordinates:
Tl (0.000, 0.000, 0.000) x1
Re (0.500, 0.500, 0.500) x1
P (0.000, 0.000, 0.500) x1
S (0.000, 0.500, 0.000) x2